Compound: Y3Er4Ga4
Source: Alexandria
Functional: PBE-GGA
Structure: optimized geometry

## Properties
Size of the total moment in μB per formula unit: 0.0
E_form in meV/atom: -352
Space group: Immm (71)

Geometry as POSCAR:
```
Y3Er4Ga4
1.0
-1.723 -1.511 -4.008
7.393 -1.558 -2.591
-3.332 -5.722 6.248
Ga Y Er
4 3 4
Cartesian
0.371 -1.015 -2.436
3.483 -3.898 -0.028
5.300 -2.054 -4.163
-1.144 -4.893 -0.323
-0.112 -1.644 0.668
2.452 -7.147 -1.019
3.697 -0.779 -1.295
4.171 -4.310 -2.827
-1.831 -4.481 2.476
1.175 -5.115 1.423
1.164 -3.676 -1.773
```